# 1
The following is a DFT calculation (PBE) of crystalline ZrSbS2N at its relaxed geometry.

Cell: 5.0222 5.0222 3.9180 Å, 90.00 90.00 90.00°
With the nearest neighbours (Å) after each atom.
Fractional coordinates of all 5 atoms:
Zr 0.0000 0.0000 0.0000  8 S 3.18, 4 N 3.55
Sb 0.5000 0.5000 0.5000  2 N 1.96
S 0.0000 0.5000 0.5000  2 Sb 2.51
S 0.5000 0.0000 0.5000  2 Sb 2.51
N 0.5000 0.5000 0.0000  2 Sb 1.96

Values from the calculation:
uncorrected formation energy	0.49	eV per atom
D(E_F)	4.402	states/eV per cell
SG	No. 123
offset from the most stable computed form	614	meV per atom

---

# 2
The following is a DFT calculation (PBE) of crystalline ZrSb2SN at its relaxed geometry.

Cell: 5.6907 5.6907 4.0016 Å, 90.00 90.00 90.00°
With the nearest neighbours (Å) after each atom.
Fractional coordinates of all 5 atoms:
Zr 0.0000 0.0000 0.0000  2 N 2.00
Sb 0.0000 0.5000 0.0000  2 Zr 2.85
Sb 0.5000 0.0000 0.0000  2 Zr 2.85
S 0.5000 0.5000 0.5000  8 Sb 3.48
N 0.0000 0.0000 0.5000  2 Zr 2.00

Values from the calculation:
uncorrected formation energy	0.49	eV per atom
D(E_F)	4.217	states/eV per cell
SG	No. 123

---

# 3
The following is a DFT calculation (PBE) of crystalline ZrSbS2N at its relaxed geometry.

Cell: 5.1322 5.1322 4.0018 Å, 90.00 90.00 90.00°
With the nearest neighbours (Å) after each atom.
Fractional coordinates of all 5 atoms:
Zr 0.0000 0.0000 0.0000  2 N 2.00
Sb 0.5000 0.5000 0.5000  8 S 3.25, 4 N 3.63
S 0.0000 0.5000 0.0000  2 Zr 2.57
S 0.5000 0.0000 0.0000  2 Zr 2.57
N 0.0000 0.0000 0.5000  2 Zr 2.00

Values from the calculation:
uncorrected formation energy	-0.12	eV per atom
D(E_F)	3.231	states/eV per cell
SG	No. 123
offset from the most stable computed form	0	meV per atom

---

# 4
The following is a DFT calculation (PBE) of crystalline Sc4SN at its relaxed geometry.

Cell: 5.7477 5.7477 6.0631 Å, 99.77 99.77 34.36°
With the nearest neighbours (Å) after each atom.
Fractional coordinates of all 6 atoms:
Sc 0.1159 0.1159 0.3976  2 N 2.27, 1 S 2.52
Sc 0.3752 0.3752 0.1666  1 N 2.23
Sc 0.6248 0.6248 0.8334  1 N 2.23
Sc 0.8841 0.8841 0.6024  2 N 2.27, 1 S 2.52
S 0.0000 0.0000 0.0000  6 Sc 2.50-2.52
N 0.5000 0.5000 0.5000  6 Sc 2.23-2.27

Values from the calculation:
uncorrected formation energy	-1.22	eV per atom
D(E_F)	3.619	states/eV per cell
SG	No. 12